# 1
This record from the Alexandria database describes a relaxed structure of Ca3Sb. The functional is PBE-GGA.

theoretical density = 3.1 Mg/m³
E above lowest polymorph = 90 meV per atom
formation energy without anion corrections = -0.4453 eV per atom
Fermi-level density of states = 3.76 states/eV/f.u.
V = 128.8 Å³/cell

a = 6.4767 Å, b = 6.4767 Å, c = 6.4767 Å
α = 136.11°, β = 136.11°, γ = 63.81°
Last column: magnetic moment on the atom in μB.
Element x y z (fractional)
Ca: 0.2500 0.7500 0.5000  0.07
Sb: 0.0000 0.0000 0.0000  0.02
Ca: 0.5000 0.5000 0.0000  0.07
Ca: 0.7500 0.2500 0.5000  0.07

=====

# 2
This record from the Alexandria database describes a relaxed structure of Pr3Sn2I2. The functional is PBE-GGA.

theoretical density = 5.6 Mg/m³
formation energy without anion corrections = -0.8139 eV per atom
Fermi-level density of states = 4.79 states/eV/f.u.
V = 270.0 Å³/cell

a = 4.4429 Å, b = 7.8506 Å, c = 8.2229 Å
α = 100.62°, β = 89.99°, γ = 106.42°
Element x y z (fractional)
I: 0.8747 0.7484 0.6183
Pr: 0.2496 0.4990 0.7682
I: 0.1253 0.2516 0.3817
Sn: 0.3787 0.7581 0.1250
Sn: 0.6213 0.2419 0.8750
Pr: 0.0000 0.0000 0.0000
Pr: 0.7504 0.5010 0.2318

=====

# 3
This record from the Alexandria database describes a relaxed structure of Tm3Cu2Pd. The functional is PBE-GGA.

theoretical density = 10.1 Mg/m³
formation energy = -49.2 kJ per mole of atoms
E above lowest polymorph = 0 meV per atom
Fermi-level density of states = 3.52 states/eV/f.u.
V = 121.7 Å³/cell

a = 4.8559 Å, b = 4.8559 Å, c = 5.9618 Å
α = 90.00°, β = 90.00°, γ = 120.00°
Element x y z (fractional)
Pd: 0.0000 0.0000 0.0000
Tm: 0.3333 0.6667 0.1668
Cu: 0.6667 0.3333 0.3399
Tm: 0.0000 0.0000 0.5000
Tm: 0.6667 0.3333 0.8332
Cu: 0.3333 0.6667 0.6601

=====

# 4
This record from the Alexandria database describes a relaxed structure of Rb2Cu2Si. The functional is PBE-GGA.

theoretical density = 4.0 Mg/m³
formation energy without anion corrections = 0.5350 eV per atom
Fermi-level density of states = 3.44 states/eV/f.u.
V = 135.4 Å³/cell

a = 3.4610 Å, b = 3.4610 Å, c = 11.5633 Å
α = 81.39°, β = 81.39°, γ = 90.00°
Last column: magnetic moment on the atom in μB.
Element x y z (fractional)
Cu: 0.7500 0.2500 0.5000  0.00
Cu: 0.2500 0.7500 0.5000  0.00
Rb: 0.6147 0.6147 0.7706  0.02
Rb: 0.3853 0.3853 0.2294  0.02
Si: 0.0000 0.0000 0.0000  0.11

=====

# 5
This record from the Alexandria database describes a relaxed structure of MnRuWBr2. The functional is PBE-GGA.

theoretical density = 8.8 Mg/m³
formation energy without anion corrections = 1.8374 eV per atom
Fermi-level density of states = 9.44 states/eV/f.u.
V = 94.2 Å³/cell

a = 4.5369 Å, b = 4.5766 Å, c = 4.5369 Å
α = 90.00°, β = 90.00°, γ = 90.00°
Element x y z (fractional)
Mn: 0.0000 0.0000 0.0000
Br: 0.5000 0.0000 0.0000
W: 0.5000 0.5000 0.5000
Br: 0.0000 0.0000 0.5000
Ru: 0.0000 0.5000 0.0000

=====

# 6
This record from the Alexandria database describes a relaxed structure of NaLaZn2H8. The functional is PBE-GGA.

theoretical density = 3.4 Mg/m³
total DFT energy (no corrections) = -38.0 eV for the cell shown
Fermi-level density of states = 0.00 states/eV/f.u.
V = 147.1 Å³/cell

a = 4.7427 Å, b = 4.7427 Å, c = 7.5503 Å
α = 90.00°, β = 90.00°, γ = 120.00°
Element x y z (fractional)
H: 0.3333 0.6667 0.9991
H: 0.9689 0.6943 0.2686
H: 0.6667 0.3333 0.0009
H: 0.0311 0.3057 0.7314
La: 0.0000 0.0000 0.0000
Zn: 0.3333 0.6667 0.7720
H: 0.2746 0.9689 0.7314
H: 0.3057 0.2746 0.2686
H: 0.6943 0.7254 0.7314
Na: 0.0000 0.0000 0.5000
Zn: 0.6667 0.3333 0.2280
H: 0.7254 0.0311 0.2686